Record 1
Computed, not measured: TbHoFe4 at its PBEsol-relaxed geometry at the SCAN level of DFT.

Symmetry = F-43m, No. 216
Total DFT energy (no corrections) = -28.08 eV/atom
Size of the total moment = 7.8 μB/f.u.

a b c (Å): 5.011 5.011 5.011
angles (deg): 60.00 60.00 60.00
Site moments in Bohr magnetons follow the coordinates.
Fractional positions:
Tb  0.000  0.000  0.000  -0.69
Fe  0.625  0.625  0.125  2.35
Fe  0.625  0.125  0.625  2.35
Fe  0.625  0.625  0.625  2.35
Fe  0.125  0.625  0.625  2.35
Ho  0.250  0.250  0.250  -0.73


Record 2
Computed, not measured: ZnWAu2 at its PBEsol-relaxed geometry at the SCAN level of DFT.

Symmetry = Pmmm, No. 47
Total DFT energy (no corrections) = -55.10 eV/atom
Size of the total moment = 0.0 μB/f.u.

a b c (Å): 2.767 4.018 5.681
angles (deg): 90.00 90.00 90.00
Fractional positions:
Zn  0.500  0.500  0.500
W  0.500  0.500  0.000
Au  0.000  0.000  0.248
Au  0.000  0.000  0.752


Record 3
Computed, not measured: LiNbS2 at its PBEsol-relaxed geometry at the SCAN level of DFT.

Energy relative to the elements, uncorrected = -141.2 kJ per mole of atoms
Symmetry = P6_3/mmc, No. 194
Size of the total moment = 0.0 μB/f.u.

a b c (Å): 3.341 3.341 12.804
angles (deg): 90.00 90.00 120.00
Fractional positions:
Li  0.000  0.000  0.500
Li  0.000  0.000  0.000
S  0.667  0.333  0.873
S  0.333  0.667  0.373
S  0.333  0.667  0.127
S  0.667  0.333  0.627
Nb  0.000  0.000  0.250
Nb  0.000  0.000  0.750